1.
Compound: CaSc3Ni
Source: Alexandria
Functional: PBE
Structure: relaxed

```
data_CaSc3Ni
_chemical_formula_sum 'Ca1 Sc3 Ni1'
_cell_length_a 5.0386
_cell_length_b 5.0386
_cell_length_c 5.0386
_cell_angle_alpha 90.00
_cell_angle_beta 90.00
_cell_angle_gamma 90.00
_symmetry_space_group_name_H-M 'P m -3 m'
_symmetry_Int_Tables_number 221
_symmetry_space_group_name_Hall '-P 4 2 3'
loop_
_atom_site_label
_atom_site_fract_x
_atom_site_fract_y
_atom_site_fract_z
Ca1 0.0000 0.0000 0.0000
Sc1 0.0000 0.5000 0.5000
Ni1 0.5000 0.5000 0.5000
```

Results
* DOS at the Fermi energy: 9.2 states/eV/f.u.
* total magnetization: 0.0 Bohr magnetons per cell
* crystal system: cubic
* formation energy from the elements: -0.051 eV/atom
* relative energy among the computed polymorphs: 0.00 kJ/mol of atoms


2.
Compound: SnHg2BiPb5
Source: Alexandria
Functional: PBE
Structure: relaxed

```
data_SnHg2BiPb5
_chemical_formula_sum 'Sn4 Hg8 Bi4 Pb20'
_cell_length_a 7.9905
_cell_length_b 7.9905
_cell_length_c 17.8206
_cell_angle_alpha 90.00
_cell_angle_beta 90.00
_cell_angle_gamma 90.00
_symmetry_space_group_name_H-M 'I 4/m c m'
_symmetry_Int_Tables_number 140
_symmetry_space_group_name_Hall '-I 4 2c'
loop_
_atom_site_label
_atom_site_fract_x
_atom_site_fract_y
_atom_site_fract_z
Sn1 0.0000 0.5000 0.2500
Hg1 0.1243 0.3757 0.0000
Bi1 0.0000 0.0000 0.2500
Pb1 0.0000 0.0000 0.0000
Pb2 0.2379 0.2621 0.3509
```

Results
* DOS at the Fermi energy: 5.5 states/eV/f.u.
* total magnetization: 0.0 Bohr magnetons per cell
* crystal system: tetragonal
* formation energy from the elements: 0.099 eV/atom